# Pr6P2SeI3

A relaxed Pr6P2SeI3 crystal (PBE, the Alexandria database). Values from VASP.

Results
The crystal system is monoclinic.

```
&SYSTEM
  ibrav = 0, nat = 12, ntyp = 4
/
ATOMIC_SPECIES
Pr 140.91 Pr.upf
P 30.97 P.upf
Se 78.96 Se.upf
I 126.90 I.upf
CELL_PARAMETERS angstrom
7.4440 -0.0007 0.0014
-3.7208 6.4474 0.0014
-1.2406 -2.1480 7.6999
ATOMIC_POSITIONS crystal
Pr 0.9369 0.5909 0.8101
Pr 0.7174 0.7174 0.1891
Pr 0.0631 0.4091 0.1899
Pr 0.5909 0.9369 0.8101
Pr 0.2826 0.2826 0.8109
Pr 0.4091 0.0631 0.1899
P 0.3333 0.6667 0.0000
P 0.6667 0.3333 0.0000
Se 0.0000 0.0000 0.0000
I 0.1654 0.8346 0.5000
I 0.8346 0.1654 0.5000
I 0.5000 0.5000 0.5000
```


# Pr8Si3PI4

A relaxed Pr8Si3PI4 crystal (PBE, the Alexandria database). Values from VASP.

Results
The crystal system is trigonal.

```
&SYSTEM
  ibrav = 0, nat = 16, ntyp = 4
/
ATOMIC_SPECIES
Pr 140.91 Pr.upf
Si 28.09 Si.upf
P 30.97 P.upf
I 126.90 I.upf
CELL_PARAMETERS angstrom
8.6459 0.0000 0.0000
0.0000 9.2742 0.4447
-4.3230 -4.3247 6.1122
ATOMIC_POSITIONS crystal
Pr 0.2303 0.6945 0.9643
Pr 0.2304 0.6945 0.4607
Pr 0.2672 0.3018 0.5345
Pr 0.7339 0.6945 0.9643
Pr 0.2661 0.3055 0.0357
Pr 0.7328 0.6982 0.4655
Pr 0.7696 0.3055 0.5393
Pr 0.7697 0.3055 0.0357
Si 0.5000 0.5000 0.0000
Si 0.5000 0.5000 0.5000
Si 0.0000 0.5000 0.5000
P 0.0000 0.5000 0.0000
I 0.5000 0.0000 0.0000
I 0.5000 0.0000 0.5000
I 0.0000 0.0000 0.0000
I 0.0000 0.0000 0.5000
```


# Pr6SiP2I3

A relaxed Pr6SiP2I3 crystal (PBE, the Alexandria database). Values from VASP.

Results
The crystal system is monoclinic.

```
&SYSTEM
  ibrav = 0, nat = 12, ntyp = 4
/
ATOMIC_SPECIES
Pr 140.91 Pr.upf
Si 28.09 Si.upf
P 30.97 P.upf
I 126.90 I.upf
CELL_PARAMETERS angstrom
4.2825 0.0000 0.0000
0.0000 9.2336 -0.1254
-2.1413 -3.1253 9.4511
ATOMIC_POSITIONS crystal
Pr 0.3453 0.8827 0.6907
Pr 0.6800 0.5485 0.3600
Pr 0.6547 0.1173 0.3093
Pr 0.0143 0.2220 0.0286
Pr 0.9857 0.7780 0.9714
Pr 0.3200 0.4515 0.6400
Si 0.5000 0.0000 0.0000
P 0.8323 0.6660 0.6646
P 0.1677 0.3340 0.3354
I 0.5000 0.5000 0.0000
I 0.8342 0.1683 0.6685
I 0.1658 0.8317 0.3315
```


| no. | total energy (eV for the cell shown) | uncorrected formation energy (eV/atom) |
| --- | --- | --- |
| 1 | -64.21 | -1.38 |
| 2 | -83.15 | -1.06 |
| 3 | -64.45 | -1.24 |